The following is a GGA+U calculation of an optimized crystal structure of CsCuMo2O8, from the Alexandria database.

abc: 5.297 5.297 9.595
angles: 73.98 73.98 60.00
Each line ends with the local moment (μB).
Fractional coordinates of all 12 atoms:
Mo 0.272 0.272 0.184  0.01
O 0.753 0.014 0.872  0.15
Mo 0.728 0.728 0.816  0.01
O 0.361 0.753 0.872  0.15
O 0.014 0.361 0.872  0.15
O 0.207 0.207 0.378  0.00
O 0.639 0.247 0.128  0.15
O 0.247 0.986 0.128  0.15
Cu 0.000 0.000 0.000  0.90
Cs 0.500 0.500 0.500  0.00
O 0.793 0.793 0.622  0.00
O 0.986 0.639 0.128  0.15

Properties
Symmetry = No. 148
Final energy = -6.278 eV per atom
Density = 3.880 g cm⁻³
V = 221 Å³/cell